Record 1
PuZnCd PBE relaxed; space group = F-43m, No. 216; magnetic moment = 25.340 Bohr magnetons per cell; final energy = -5.329 eV/atom; crystal system = cubic
1.0
6.706 0.000 0.000
0.000 6.706 0.000
0.000 0.000 6.706
Pu Zn Cd
4 4 4
direct
0.000 0.000 0.000 Pu
0.000 0.500 0.500 Pu
0.500 0.000 0.500 Pu
0.500 0.500 0.000 Pu
0.250 0.250 0.750 Zn
0.250 0.750 0.250 Zn
0.750 0.250 0.250 Zn
0.750 0.750 0.750 Zn
0.000 0.000 0.500 Cd
0.000 0.500 0.000 Cd
0.500 0.000 0.000 Cd
0.500 0.500 0.500 Cd


Record 2
PuZrCd PBE relaxed; space group = F-43m, No. 216; magnetic moment = 25.441 Bohr magnetons per cell; final energy = -7.098 eV/atom; crystal system = cubic
1.0
6.882 0.000 0.000
0.000 6.882 0.000
0.000 0.000 6.882
Pu Zr Cd
4 4 4
direct
0.000 0.000 0.000 Pu
0.000 0.500 0.500 Pu
0.500 0.000 0.500 Pu
0.500 0.500 0.000 Pu
0.250 0.250 0.250 Zr
0.250 0.750 0.750 Zr
0.750 0.250 0.750 Zr
0.750 0.750 0.250 Zr
0.250 0.250 0.750 Cd
0.250 0.750 0.250 Cd
0.750 0.250 0.250 Cd
0.750 0.750 0.750 Cd


Record 3
RbCd13 PBE relaxed; space group = Fm-3c, No. 226; final energy = -0.979 eV/atom; crystal system = cubic
1.0
0.000 6.964 6.964
6.964 0.000 6.964
6.964 6.964 0.000
Rb Cd
2 26
direct
0.250 0.250 0.250 Rb
0.750 0.750 0.750 Rb
0.000 0.000 0.000 Cd
0.059 0.301 0.699 Cd
0.059 0.699 0.941 Cd
0.059 0.941 0.301 Cd
0.199 0.441 0.801 Cd
0.199 0.559 0.441 Cd
0.199 0.801 0.559 Cd
0.301 0.059 0.941 Cd
0.301 0.699 0.059 Cd
0.301 0.941 0.699 Cd
0.441 0.199 0.559 Cd
0.441 0.559 0.801 Cd
0.441 0.801 0.199 Cd
0.500 0.500 0.500 Cd
0.559 0.199 0.801 Cd
0.559 0.441 0.199 Cd
0.559 0.801 0.441 Cd
0.699 0.059 0.301 Cd
0.699 0.301 0.941 Cd
0.699 0.941 0.059 Cd
0.801 0.199 0.441 Cd
0.801 0.441 0.559 Cd
0.801 0.559 0.199 Cd
0.941 0.059 0.699 Cd
0.941 0.301 0.059 Cd
0.941 0.699 0.301 Cd


Record 4
Rb3Cd PBE relaxed; space group = R-3m, No. 166; final energy = -0.894 eV/atom; crystal system = trigonal
1.0
6.846 0.000 0.000
-3.423 5.929 0.000
0.000 0.000 16.708
Rb Cd
9 3
direct
0.000 0.000 0.000 Rb
0.000 0.000 0.251 Rb
0.000 0.000 0.749 Rb
0.333 0.667 0.416 Rb
0.333 0.667 0.667 Rb
0.333 0.667 0.918 Rb
0.667 0.333 0.082 Rb
0.667 0.333 0.333 Rb
0.667 0.333 0.584 Rb
0.000 0.000 0.500 Cd
0.333 0.667 0.167 Cd
0.667 0.333 0.833 Cd


Record 5
RbCd2 PBE relaxed; space group = P4_332, No. 212; final energy = -0.957 eV/atom; crystal system = cubic
1.0
7.668 0.000 0.000
0.000 7.668 0.000
0.000 0.000 7.668
Rb Cd
4 8
direct
0.125 0.125 0.125 Rb
0.375 0.875 0.625 Rb
0.625 0.375 0.875 Rb
0.875 0.625 0.375 Rb
0.080 0.580 0.920 Cd
0.170 0.330 0.670 Cd
0.330 0.670 0.170 Cd
0.420 0.420 0.420 Cd
0.580 0.920 0.080 Cd
0.670 0.170 0.330 Cd
0.830 0.830 0.830 Cd
0.920 0.080 0.580 Cd


Record 6
Rb2Cd17 PBE relaxed; space group = C2/m, No. 12; final energy = -0.936 eV/atom; crystal system = monoclinic
1.0
5.798 -5.130 0.000
5.798 5.130 0.000
-1.258 0.000 7.635
Rb Cd
2 17
direct
0.159 0.159 0.340 Rb
0.841 0.841 0.660 Rb
0.000 0.500 0.000 Cd
0.147 0.147 0.846 Cd
0.147 0.655 0.353 Cd
0.201 0.499 0.701 Cd
0.203 0.797 0.000 Cd
0.345 0.853 0.647 Cd
0.400 0.400 0.100 Cd
0.499 0.201 0.701 Cd
0.500 0.000 0.000 Cd
0.500 0.500 0.500 Cd
0.501 0.799 0.299 Cd
0.600 0.600 0.900 Cd
0.655 0.147 0.353 Cd
0.797 0.203 0.000 Cd
0.799 0.501 0.299 Cd
0.853 0.345 0.647 Cd
0.853 0.853 0.154 Cd